Y2Er4ThSc | the Alexandria database | PBE | optimized geometry; Fermi-level density of states = 17.74 states/eV/cell; space group = No. 123; size of the total moment = 0.003 μB per formula unit; formation energy = 0.143 eV per atom
1.0
5.7522 0.0000 0.0000
0.0000 5.7522 0.0000
0.0000 0.0000 7.4298
Y Er Th Sc
2 4 1 1
Cartesian
0.0000 0.0000 0.0000 Y
2.8761 2.8761 3.7149 Y
0.0000 2.8761 1.7862 Er
0.0000 2.8761 5.6436 Er
2.8761 0.0000 1.7862 Er
2.8761 0.0000 5.6436 Er
0.0000 0.0000 3.7149 Th
2.8761 2.8761 0.0000 Sc